No. 1
Below is a relaxed structure of NdPuSn2, with properties calculated at the GGA-PBE level.

Values from the calculation:
Energy relative to the elements: -0.495 eV per atom
Total energy: -7.271 eV/atom

Lattice parameters (Å, degrees): 4.937 4.937 4.528 90.00 90.00 90.00
Atoms (fractional coordinates):
Nd 0.000 0.000 0.000
Pu 0.500 0.500 0.000
Sn 0.000 0.500 0.500
Sn 0.500 0.000 0.500

No. 2
Below is a relaxed structure of NdPu2Sn, with properties calculated at the GGA-PBE level.

Values from the calculation:
Energy relative to the elements: -0.282 eV per atom
Total energy: -9.640 eV/atom

Lattice parameters (Å, degrees): 4.639 4.639 5.139 90.00 90.00 90.00
Atoms (fractional coordinates):
Nd 0.000 0.000 0.000
Pu 0.000 0.500 0.500
Pu 0.500 0.000 0.500
Sn 0.500 0.500 0.000

No. 3
Below is a relaxed structure of NdPuSn2, with properties calculated at the GGA-PBE level.

Values from the calculation:
Energy relative to the elements: -0.524 eV per atom
Total energy: -7.300 eV/atom

Lattice parameters (Å, degrees): 3.468 3.468 9.101 90.00 90.00 90.00
Atoms (fractional coordinates):
Nd 0.000 0.000 0.000
Pu 0.000 0.000 0.500
Sn 0.500 0.500 0.254
Sn 0.500 0.500 0.746

No. 4
Below is a relaxed structure of NdPu2Sn2, with properties calculated at the GGA-PBE level.

Values from the calculation:
Energy relative to the elements: -0.140 eV per atom
Total energy: -8.428 eV/atom

Lattice parameters (Å, degrees): 4.399 4.399 15.728 90.00 90.00 120.00
Atoms (fractional coordinates):
Nd 0.333 0.667 0.250
Nd 0.667 0.333 0.750
Pu 0.333 0.667 0.507
Pu 0.333 0.667 0.993
Pu 0.667 0.333 0.007
Pu 0.667 0.333 0.493
Sn 0.000 0.000 0.123
Sn 0.000 0.000 0.377
Sn 0.000 0.000 0.623
Sn 0.000 0.000 0.877

No. 5
Below is a relaxed structure of Nd2PuSn, with properties calculated at the GGA-PBE level.

Values from the calculation:
Energy relative to the elements: -0.329 eV per atom
Total energy: -7.296 eV/atom

Lattice parameters (Å, degrees): 4.984 4.984 4.693 90.00 90.00 90.00
Atoms (fractional coordinates):
Nd 0.000 0.500 0.000
Nd 0.500 0.000 0.000
Pu 0.000 0.000 0.500
Sn 0.500 0.500 0.500

No. 6
Below is a relaxed structure of Nd2PuSn3, with properties calculated at the GGA-PBE level.

Values from the calculation:
Energy relative to the elements: -0.411 eV per atom
Total energy: -6.390 eV/atom

Lattice parameters (Å, degrees): 6.904 6.904 6.904 134.81 125.01 73.83
Atoms (fractional coordinates):
Nd 0.173 0.173 0.000
Nd 0.827 0.827 0.000
Pu 0.500 0.500 0.000
Sn 0.000 0.500 0.500
Sn 0.344 0.844 0.500
Sn 0.656 0.156 0.500

No. 7
Below is a relaxed structure of NdPuSn2, with properties calculated at the GGA-PBE level.

Values from the calculation:
Energy relative to the elements: -0.486 eV per atom
Total energy: -7.262 eV/atom

Lattice parameters (Å, degrees): 4.339 6.293 6.293 43.82 90.00 90.00
Atoms (fractional coordinates):
Nd 0.000 0.000 0.000
Pu 0.500 0.271 0.271
Sn 0.000 0.724 0.724
Sn 0.500 0.547 0.547

No. 8
Below is a relaxed structure of Nd2PuSn, with properties calculated at the GGA-PBE level.

Values from the calculation:
Energy relative to the elements: -0.180 eV per atom
Total energy: -7.148 eV/atom

Lattice parameters (Å, degrees): 5.508 5.508 5.508 60.00 60.00 60.00
Atoms (fractional coordinates):
Nd 0.250 0.250 0.250
Nd 0.750 0.750 0.750
Pu 0.000 0.000 0.000
Sn 0.500 0.500 0.500